4
Lattice="4.119 0.000 0.000 2.060 3.567 0.000 2.060 1.189 3.363" Properties=species:S:1:pos:R:3 comment="CrGaCoCu, relaxed, DFT PBE" formation_energy_kcal_per_mol_atoms=1.34 spacegroup="F-43m, No. 216" pbc="T T T"
Cr 6.179 3.567 2.522
Co 0.000 0.000 0.000
Cu 4.119 2.378 1.682
Ga 2.060 1.189 0.841

4
Lattice="4.118 0.000 0.000 2.059 3.566 0.000 2.059 1.189 3.362" Properties=species:S:1:pos:R:3 comment="CrCoCuGe, relaxed, DFT PBE" formation_energy_kcal_per_mol_atoms=0.79 spacegroup="F-43m, No. 216" pbc="T T T"
Cr 0.000 0.000 0.000
Ge 2.059 1.189 0.841
Co 4.118 2.378 1.681
Cu 6.177 3.566 2.522

5
Lattice="-1.908 0.626 -4.233 1.312 -4.665 -1.282 -4.099 -1.596 1.612" Properties=species:S:1:pos:R:3 comment="CrInCo2Cu, relaxed, DFT PBE" formation_energy_kcal_per_mol_atoms=39.51 spacegroup="P4/mmm, No. 123" pbc="T T T"
Cr 0.656 -2.333 -0.641
Co -2.050 -0.798 0.806
Co -0.954 0.313 -2.116
Cu -2.348 -2.817 -1.951
In 0.000 0.000 0.000

4
Lattice="-2.595 -3.004 0.750 0.315 -3.490 -2.009 1.260 -3.326 1.915" Properties=species:S:1:pos:R:3 comment="MnCrCoCu, relaxed, DFT PBE" formation_energy_kcal_per_mol_atoms=4.23 spacegroup="F-43m, No. 216" pbc="T T T"
Cr -0.255 -2.455 0.164
Mn -0.510 -4.910 0.327
Co 0.000 0.000 0.000
Cu -0.765 -7.365 0.491

5
Lattice="-2.733 -1.208 -2.276 2.525 -1.919 -2.013 -0.520 -3.023 2.230" Properties=species:S:1:pos:R:3 comment="CrCo2CuN, relaxed, DFT PBE" spacegroup="P4/mmm, No. 123" formation_energy_uncorrected_ev_per_atom=-0.03 pbc="T T T"
Cr -0.260 -1.511 1.115
Co 1.263 -0.960 -1.007
Co -1.367 -0.604 -1.138
Cu -0.364 -3.075 -1.030
N 0.000 0.000 0.000

5
Lattice="-2.049 1.085 2.972 2.834 -0.946 2.299 1.401 3.468 -0.300" Properties=species:S:1:pos:R:3 comment="Cr2CoCuN, relaxed, DFT PBE" spacegroup="P4/mmm, No. 123" formation_energy_uncorrected_ev_per_atom=-0.05 pbc="T T T"
Cr 1.417 -0.473 1.149
Cr -1.024 0.543 1.486
Co 0.701 1.734 -0.150
Cu 1.093 1.803 2.485
N 0.000 0.000 0.000

4
Lattice="-3.115 0.265 2.498 -0.044 -2.145 3.378 0.420 1.827 3.536" Properties=species:S:1:pos:R:3 comment="CrCoCuNi, relaxed, DFT PBE" formation_energy_kcal_per_mol_atoms=4.10 spacegroup="F-43m, No. 216" pbc="T T T"
Ni -0.685 -0.013 2.353
Co -2.054 -0.039 7.059
Cu 0.000 0.000 0.000
Cr -1.370 -0.026 4.706

Result set for spin magnetization: 1.6, 2.7, 7.0, 0.9, 4.1, 0.8, 2.1 μB/f.u., one per record in the order listed.